(1)
Compound: Tm4HgPt
Source: Alexandria via LeMat-Bulk
Functional: PBE-GGA
Structure: optimized geometry

Computed properties:
symmetry	F-43m
magnetic moment	0.000	μB per atom
energy of formation from the pure elements	-0.687	eV/atom
relative energy among the computed polymorphs	0.000	eV per atom
DOS at the Fermi energy	6.176	states/eV/f.u.

Cell lengths 9.507, 9.507, 9.507 Å; angles 60.00, 60.00, 60.00 degrees
Atoms (fractional coordinates):
Tm: 0.186 0.186 0.814
Tm: 0.186 0.814 0.186
Tm: 0.186 0.814 0.814
Tm: 0.394 0.394 0.394
Tm: 0.394 0.394 0.819
Tm: 0.394 0.819 0.394
Tm: 0.561 0.561 0.939
Tm: 0.561 0.939 0.561
Tm: 0.561 0.939 0.939
Tm: 0.814 0.186 0.186
Tm: 0.814 0.186 0.814
Tm: 0.814 0.814 0.186
Tm: 0.819 0.394 0.394
Tm: 0.939 0.561 0.561
Tm: 0.939 0.561 0.939
Tm: 0.939 0.939 0.561
Hg: 0.163 0.163 0.163
Hg: 0.163 0.163 0.511
Hg: 0.163 0.511 0.163
Hg: 0.511 0.163 0.163
Pt: 0.184 0.605 0.605
Pt: 0.605 0.184 0.605
Pt: 0.605 0.605 0.184
Pt: 0.605 0.605 0.605



(2)
Compound: Tm5HgPt4
Source: Alexandria via LeMat-Bulk
Functional: PBE-GGA
Structure: optimized geometry

Computed properties:
symmetry	P4/mmm
magnetic moment	0.000	μB per atom
energy of formation from the pure elements	-1.127	eV/atom
DOS at the Fermi energy	6.450	states/eV/f.u.

Cell lengths 3.464, 3.464, 17.826 Å; angles 90.00, 90.00, 90.00 degrees
Atoms (fractional coordinates):
Tm: 0.000 0.000 0.000
Tm: 0.000 0.000 0.192
Tm: 0.000 0.000 0.383
Tm: 0.000 0.000 0.617
Tm: 0.000 0.000 0.808
Hg: 0.500 0.500 0.500
Pt: 0.500 0.500 0.097
Pt: 0.500 0.500 0.293
Pt: 0.500 0.500 0.707
Pt: 0.500 0.500 0.903



(3)
Compound: TmHgPt
Source: Alexandria via LeMat-Bulk
Functional: PBE-GGA
Structure: optimized geometry

Computed properties:
symmetry	P-6m2
magnetic moment	0.000	μB per atom
energy of formation from the pure elements	-0.668	eV/atom
DOS at the Fermi energy	2.205	states/eV/f.u.

Cell lengths 4.731, 4.731, 3.282 Å; angles 90.00, 90.00, 120.00 degrees
Atoms (fractional coordinates):
Tm: 0.000 0.000 0.000
Hg: 0.333 0.667 0.500
Pt: 0.667 0.333 0.500



(4)
Compound: TmHg2Pt
Source: Alexandria via LeMat-Bulk
Functional: PBE-GGA
Structure: optimized geometry

Computed properties:
symmetry	R-3m
magnetic moment	0.000	μB per atom
energy of formation from the pure elements	0.209	eV/atom
DOS at the Fermi energy	3.382	states/eV/f.u.

Cell lengths 10.583, 10.583, 10.583 Å; angles 17.55, 17.55, 17.55 degrees
Atoms (fractional coordinates):
Tm: 0.000 0.000 0.000
Hg: 0.096 0.096 0.096
Hg: 0.904 0.904 0.904
Pt: 0.500 0.500 0.500



(5)
Compound: TmHgPt2
Source: Alexandria via LeMat-Bulk
Functional: PBE-GGA
Structure: optimized geometry

Computed properties:
symmetry	Fm-3m
magnetic moment	0.000	μB per atom
energy of formation from the pure elements	-0.753	eV/atom
relative energy among the computed polymorphs	0.033	eV per atom
DOS at the Fermi energy	1.232	states/eV/f.u.

Cell lengths 4.775, 4.775, 4.775 Å; angles 60.00, 60.00, 60.00 degrees
Atoms (fractional coordinates):
Tm: 0.000 0.000 0.000
Hg: 0.500 0.500 0.500
Pt: 0.250 0.250 0.250
Pt: 0.750 0.750 0.750



(6)
Compound: TmHgPt2
Source: Alexandria via LeMat-Bulk
Functional: PBE-GGA
Structure: optimized geometry

Computed properties:
symmetry	P4/mmm
magnetic moment	0.000	μB per atom
energy of formation from the pure elements	-0.727	eV/atom
relative energy among the computed polymorphs	0.059	eV per atom
DOS at the Fermi energy	2.000	states/eV/f.u.

Cell lengths 4.355, 4.355, 4.000 Å; angles 90.00, 90.00, 90.00 degrees
Atoms (fractional coordinates):
Tm: 0.000 0.000 0.000
Hg: 0.500 0.500 0.000
Pt: 0.000 0.500 0.500
Pt: 0.500 0.000 0.500



(7)
Compound: TmHgPt
Source: Alexandria via LeMat-Bulk
Functional: PBE-GGA
Structure: optimized geometry

Computed properties:
symmetry	P2_1/c
magnetic moment	0.000	μB per atom
energy of formation from the pure elements	-0.802	eV/atom
DOS at the Fermi energy	1.287	states/eV/f.u.

Cell lengths 7.074, 5.471, 7.172 Å; angles 90.00, 107.67, 90.00 degrees
Atoms (fractional coordinates):
Tm: 0.159 0.136 0.362
Tm: 0.159 0.364 0.862
Tm: 0.841 0.636 0.138
Tm: 0.841 0.864 0.638
Hg: 0.440 0.583 0.288
Hg: 0.440 0.917 0.788
Hg: 0.560 0.083 0.212
Hg: 0.560 0.417 0.712
Pt: 0.155 0.649 0.504
Pt: 0.155 0.851 0.004
Pt: 0.845 0.149 0.996
Pt: 0.845 0.351 0.496



(8)
Compound: TmHgPt
Source: Alexandria via LeMat-Bulk
Functional: PBE-GGA
Structure: optimized geometry

Computed properties:
symmetry	P6_3/mmc
magnetic moment	0.000	μB per atom
energy of formation from the pure elements	-0.837	eV/atom
DOS at the Fermi energy	1.495	states/eV/f.u.

Cell lengths 4.974, 4.974, 5.904 Å; angles 90.00, 90.00, 120.00 degrees
Atoms (fractional coordinates):
Tm: 0.333 0.667 0.250
Tm: 0.667 0.333 0.750
Hg: 0.000 0.000 0.000
Hg: 0.000 0.000 0.500
Pt: 0.333 0.667 0.750
Pt: 0.667 0.333 0.250